VASP calculation (meta-GGA SCAN) on ZrAs2PSe at its PBEsol-relaxed geometry.

Summary:
ΔE_f (raw) in eV per atom: 0.55
V in Å³/f.u.: 133
Spin magnetization in μB per formula unit: 1.22
DOS at the Fermi energy in states/eV per atom: 0.7027
Energy in eV for the cell shown: -98.8

Unit cell a=4.978 b=5.168 c=5.168 alpha=90.00 beta=90.00 gamma=90.00
Site moments in Bohr magnetons follow the coordinates.
Fractional coordinates of all 5 atoms:
P: 0.500 0.500 0.500  0.88
As: 0.000 0.000 0.500  -0.20
As: 0.000 0.500 0.000  -0.20
Se: 0.500 0.000 0.000  -0.03
Zr: 0.000 0.000 0.000  0.10

VASP calculation (meta-GGA SCAN) on SnAsP2 at its PBEsol-relaxed geometry.

Summary:
V in Å³/f.u.: 71
Spin magnetization in μB per formula unit: 0.00
DOS at the Fermi energy in states/eV per atom: 0.6936
Energy in eV for the cell shown: -74.3
E_form in meV per atom: 653

Unit cell a=4.651 b=4.651 c=4.651 alpha=60.00 beta=60.00 gamma=60.00
Fractional coordinates of all 4 atoms:
P: 0.250 0.250 0.250
P: 0.750 0.750 0.750
As: 0.000 0.000 0.000
Sn: 0.500 0.500 0.500

VASP calculation (meta-GGA SCAN) on SrAs4P at its PBEsol-relaxed geometry.

Summary:
V in Å³/f.u.: 125
Spin magnetization in μB per formula unit: 0.00
DOS at the Fermi energy in states/eV per atom: 0.5958
Energy in eV for the cell shown: -113.1
E_form in meV per atom: 51

Unit cell a=5.611 b=5.611 c=5.611 alpha=60.00 beta=60.00 gamma=60.00
Fractional coordinates of all 6 atoms:
As: 0.383 0.383 0.383
As: 0.383 0.383 0.851
As: 0.851 0.383 0.383
As: 0.383 0.851 0.383
P: 0.750 0.750 0.750
Sr: 0.000 0.000 0.000

VASP calculation (meta-GGA SCAN) on TaAsP2 at its PBEsol-relaxed geometry.

Summary:
V in Å³/f.u.: 63
Spin magnetization in μB per formula unit: 0.00
DOS at the Fermi energy in states/eV per atom: 0.3913
Energy in eV for the cell shown: -107.9
E_form in meV per atom: -93

Unit cell a=3.203 b=3.203 c=6.093 alpha=90.00 beta=90.00 gamma=90.00
Fractional coordinates of all 4 atoms:
As: 0.500 0.500 0.500
P: 0.000 0.000 0.792
P: 0.000 0.000 0.208
Ta: 0.500 0.500 0.000

VASP calculation (meta-GGA SCAN) on TaAsP2 at its PBEsol-relaxed geometry.

Summary:
V in Å³/f.u.: 61
Spin magnetization in μB per formula unit: 0.00
DOS at the Fermi energy in states/eV per atom: 0.4648
Energy in eV for the cell shown: -106.3
E_form in meV per atom: 322

Unit cell a=3.747 b=3.747 c=5.107 alpha=111.53 beta=111.53 gamma=90.00
Fractional coordinates of all 4 atoms:
As: 0.250 0.750 0.500
P: 0.000 0.000 0.000
P: 0.750 0.250 0.500
Ta: 0.500 0.500 0.000

VASP calculation (meta-GGA SCAN) on Ta2AsP at its PBEsol-relaxed geometry.

Summary:
V in Å³/f.u.: 73
Spin magnetization in μB per formula unit: 0.00
DOS at the Fermi energy in states/eV per atom: 0.2397
Energy in eV for the cell shown: -164.6
E_form in meV per atom: -222

Unit cell a=2.871 b=2.871 c=9.171 alpha=90.00 beta=90.00 gamma=106.38
Fractional coordinates of all 4 atoms:
As: 0.000 0.000 0.539
P: 0.500 0.500 0.200
Ta: 0.000 0.000 0.004
Ta: 0.500 0.500 0.757

VASP calculation (meta-GGA SCAN) on TaAsP2 at its PBEsol-relaxed geometry.

Summary:
V in Å³/f.u.: 59
Spin magnetization in μB per formula unit: 0.00
DOS at the Fermi energy in states/eV per atom: 0.3535
Energy in eV for the cell shown: -107.1
E_form in meV per atom: 115

Unit cell a=3.318 b=4.388 c=4.904 alpha=116.58 beta=109.77 gamma=90.00
Fractional coordinates of all 4 atoms:
As: 0.720 0.220 0.440
P: 0.992 0.992 0.984
P: 0.288 0.788 0.577
Ta: 0.500 0.500 0.999

VASP calculation (meta-GGA SCAN) on TaAsP2 at its PBEsol-relaxed geometry.

Summary:
V in Å³/f.u.: 64
Spin magnetization in μB per formula unit: 0.00
DOS at the Fermi energy in states/eV per atom: 0.6673
Energy in eV for the cell shown: -107.5
E_form in meV per atom: 22

Unit cell a=3.323 b=3.323 c=6.980 alpha=76.23 beta=76.23 gamma=60.00
Fractional coordinates of all 4 atoms:
As: 0.000 0.000 0.000
P: 0.251 0.251 0.248
P: 0.749 0.749 0.752
Ta: 0.500 0.500 0.500

> Look up the energy of the third one.

-113.1 eV for the cell shown